Entry 1:
Density functional theory data (GGA-PBE) for a relaxed Ba2P2PdAu crystal.

a b c (Å): 4.3369 4.3369 9.4588
angles (deg): 90.00 90.00 120.00
Fractional coordinates of all 6 atoms:
Au 0.0000 0.0000 0.0000
Ba 0.3333 0.6667 0.2593
Ba 0.3333 0.6667 0.7407
P 0.6667 0.3333 0.0000
P 0.0000 0.0000 0.5000
Pd 0.6667 0.3333 0.5000

Properties
The total energy is -28.59 eV per formula unit.


Entry 2:
Density functional theory data (GGA-PBE) for a relaxed NdUPb crystal.

a b c (Å): 5.3254 5.3254 5.3254
angles (deg): 60.00 60.00 60.00
Fractional coordinates of all 3 atoms:
Nd 0.2500 0.2500 0.2500
Pb 0.0000 0.0000 0.0000
U 0.7500 0.7500 0.7500

Properties
The total energy is -18.27 eV per formula unit. The size of the total moment comes out at 4.27 μB/f.u.


Entry 3:
Density functional theory data (GGA-PBE) for a relaxed NdHfNi crystal.

a b c (Å): 4.6095 4.6095 4.6095
angles (deg): 60.00 60.00 60.00
Fractional coordinates of all 3 atoms:
Hf 0.2500 0.2500 0.2500
Nd 0.0000 0.0000 0.0000
Ni 0.7500 0.7500 0.7500

Properties
The energy of formation from the pure elements comes out at 283.6 kJ/mol of formula units. The size of the total moment comes out at 0.00 μB/f.u.


Entry 4:
Density functional theory data (GGA-PBE) for a relaxed AcGaCo crystal.

a b c (Å): 4.9128 4.9128 4.9128
angles (deg): 60.00 60.00 60.00
Fractional coordinates of all 3 atoms:
Ac 0.0000 0.0000 0.0000
Co 0.2500 0.2500 0.2500
Ga 0.7500 0.7500 0.7500

Properties
The total energy is -12.10 eV per formula unit. The size of the total moment comes out at 1.04 μB/f.u.


Entry 5:
Density functional theory data (GGA-PBE) for a relaxed Lu2SiPd crystal.

a b c (Å): 4.8098 4.8098 4.8098
angles (deg): 60.00 60.00 60.00
Fractional coordinates of all 4 atoms:
Lu 0.0000 0.0000 0.0000
Lu 0.7500 0.7500 0.7500
Pd 0.2500 0.2500 0.2500
Si 0.5000 0.5000 0.5000

Properties
The total energy is -20.63 eV per formula unit. The size of the total moment comes out at 0.03 μB/f.u.


Entry 6:
Density functional theory data (GGA-PBE) for a relaxed Hf3Zr3Bi2Os crystal.

a b c (Å): 7.9969 7.9969 3.6511
angles (deg): 90.00 90.00 120.00
Fractional coordinates of all 9 atoms:
Bi 0.6667 0.3333 0.5000
Bi 0.3333 0.6667 0.5000
Hf 0.3854 0.0000 0.0000
Hf 0.0000 0.3854 0.0000
Hf 0.6146 0.6146 0.0000
Os 0.0000 0.0000 0.0000
Zr 0.7517 0.0000 0.5000
Zr 0.2483 0.2483 0.5000
Zr 0.0000 0.7517 0.5000

Properties
The total energy is -77.32 eV per formula unit. The size of the total moment comes out at 0.01 μB/f.u.


Entry 7:
Density functional theory data (GGA-PBE) for a relaxed TmThOs crystal.

a b c (Å): 4.7288 4.7288 4.7288
angles (deg): 60.00 60.00 60.00
Fractional coordinates of all 3 atoms:
Os 0.2500 0.2500 0.2500
Th 0.7500 0.7500 0.7500
Tm 0.0000 0.0000 0.0000

Properties
The energy of formation from the pure elements comes out at 184.4 kJ/mol of formula units. The size of the total moment comes out at 0.00 μB/f.u.


Entry 8:
Density functional theory data (GGA-PBE) for a relaxed NbI crystal.

a b c (Å): 3.4084 3.4084 4.4156
angles (deg): 90.00 90.00 120.00
Fractional coordinates of all 2 atoms:
I 0.6667 0.3333 0.7500
Nb 0.3333 0.6667 0.2500

Properties
The total energy is -10.25 eV per formula unit. The size of the total moment comes out at 0.01 μB/f.u.


Entry 9:
Density functional theory data (GGA-PBE) for a relaxed DySc2S3 crystal.

a b c (Å): 3.7518 3.7518 9.2392
angles (deg): 90.00 90.00 120.00
Fractional coordinates of all 6 atoms:
Dy 0.0000 0.0000 0.0000
S 0.3333 0.6667 0.1811
S 0.0000 0.0000 0.5000
S 0.6667 0.3333 0.8189
Sc 0.6667 0.3333 0.3397
Sc 0.3333 0.6667 0.6603

Properties
The total energy is -41.06 eV per formula unit. The size of the total moment comes out at 0.00 μB/f.u.


Entry 10:
Density functional theory data (GGA-PBE) for a relaxed CsPu crystal.

a b c (Å): 5.7161 5.7161 5.7161
angles (deg): 60.00 60.00 60.00
Fractional coordinates of all 2 atoms:
Cs 0.0000 0.0000 0.0000
Pu 0.2500 0.2500 0.2500

Properties
The total energy is -11.47 eV per formula unit. The size of the total moment comes out at 7.71 μB/f.u.


Entry 11:
Density functional theory data (GGA-PBE) for a relaxed TbScAu6 crystal.

a b c (Å): 4.9682 6.0991 5.0906
angles (deg): 90.00 90.00 90.00
Fractional coordinates of all 8 atoms:
Au 0.5000 0.0000 0.1569
Au 0.0000 0.2441 0.3385
Au 0.0000 0.7559 0.3385
Au 0.5000 0.2373 0.6643
Au 0.5000 0.7627 0.6643
Au 0.0000 0.5000 0.8292
Sc 0.0000 0.0000 0.8477
Tb 0.5000 0.5000 0.1605

Properties
The energy of formation from the pure elements comes out at -523.0 kJ/mol of formula units. The size of the total moment comes out at 0.01 μB/f.u.


Entry 12:
Density functional theory data (GGA-PBE) for a relaxed Hf2ZrCo2 crystal.

a b c (Å): 4.3030 4.3030 5.7611
angles (deg): 111.93 111.93 90.00
Fractional coordinates of all 5 atoms:
Co 0.6105 0.6105 0.2210
Co 0.3895 0.3895 0.7790
Hf 0.7500 0.2500 0.5000
Hf 0.2500 0.7500 0.5000
Zr 0.0000 0.0000 0.0000

Properties
The energy of formation from the pure elements comes out at -73.0 kJ/mol of formula units. The size of the total moment comes out at 0.00 μB/f.u.